No. 1
Here is a geometry-optimized BaIn2O4 structure from Alexandria via LeMat-Bulk. Energies are from PBE-GGA.

a b c (Å): 10.5796 5.9233 14.6953
angles (deg): 90.00 110.11 90.00
Atoms (fractional coordinates):
Ba 0.0785 0.2446 0.4394
Ba 0.0785 0.2554 0.9394
Ba 0.2460 0.7428 0.3097
Ba 0.2460 0.7572 0.8097
Ba 0.7540 0.2428 0.1903
Ba 0.7540 0.2572 0.6903
Ba 0.9215 0.7446 0.0606
Ba 0.9215 0.7554 0.5606
In 0.0822 0.2432 0.1861
In 0.0822 0.2568 0.6861
In 0.2737 0.7498 0.0707
In 0.2737 0.7502 0.5707
In 0.3785 0.2462 0.6943
In 0.3785 0.2538 0.1943
In 0.4439 0.2468 0.4472
In 0.4439 0.2532 0.9472
In 0.5561 0.7468 0.0528
In 0.5561 0.7532 0.5528
In 0.6215 0.7462 0.8057
In 0.6215 0.7538 0.3057
In 0.7263 0.2498 0.4293
In 0.7263 0.2502 0.9293
In 0.9178 0.7432 0.3139
In 0.9178 0.7568 0.8139
O 0.0087 0.0194 0.2683
O 0.0087 0.4806 0.7683
O 0.0915 0.6939 0.4464
O 0.0915 0.8061 0.9464
O 0.1873 0.0436 0.6142
O 0.1873 0.4564 0.1142
O 0.2156 0.5083 0.6553
O 0.2156 0.9917 0.1553
O 0.2839 0.2018 0.8172
O 0.2839 0.2982 0.3172
O 0.3677 0.5781 0.9802
O 0.3677 0.9219 0.4802
O 0.4183 0.0513 0.0651
O 0.4183 0.4487 0.5651
O 0.4593 0.5955 0.1924
O 0.4593 0.9045 0.6924
O 0.5407 0.0955 0.3076
O 0.5407 0.4045 0.8076
O 0.5817 0.5513 0.4349
O 0.5817 0.9487 0.9349
O 0.6323 0.0781 0.5198
O 0.6323 0.4219 0.0198
O 0.7161 0.7018 0.6828
O 0.7161 0.7982 0.1828
O 0.7844 0.0083 0.8447
O 0.7844 0.4917 0.3447
O 0.8127 0.5436 0.8858
O 0.8127 0.9564 0.3858
O 0.9085 0.1939 0.0536
O 0.9085 0.3061 0.5536
O 0.9913 0.5194 0.2317
O 0.9913 0.9806 0.7317

Summary:
**E above lowest polymorph**: 0.016 eV per atom

No. 2
Here is a geometry-optimized Ba4InO structure from Alexandria via LeMat-Bulk. Energies are from PBE-GGA.

a b c (Å): 10.8978 10.8978 7.9076
angles (deg): 90.00 90.00 150.10
Atoms (fractional coordinates):
Ba 0.0000 0.0000 0.0000
Ba 0.0000 0.0000 0.5000
Ba 0.1798 0.8202 0.5028
Ba 0.1798 0.8202 0.9972
Ba 0.4153 0.5847 0.7500
Ba 0.5847 0.4153 0.2500
Ba 0.8202 0.1798 0.0028
Ba 0.8202 0.1798 0.4972
In 0.3998 0.6002 0.2500
In 0.6002 0.3998 0.7500
O 0.0938 0.9062 0.2500
O 0.9062 0.0938 0.7500

Summary:
**D(E_F)**: 0.489 states/eV/atom
**E above lowest polymorph**: 0.000 eV per atom

No. 3
Here is a geometry-optimized Ba7In3O2 structure from Alexandria via LeMat-Bulk. Energies are from PBE-GGA.

a b c (Å): 13.7600 13.7600 5.6094
angles (deg): 90.00 90.00 156.95
Atoms (fractional coordinates):
Ba 0.0000 0.0000 0.0000
Ba 0.1045 0.8955 0.5000
Ba 0.2041 0.7959 0.0000
Ba 0.4002 0.5998 0.0000
Ba 0.5998 0.4002 0.0000
Ba 0.7959 0.2041 0.0000
Ba 0.8955 0.1045 0.5000
In 0.2933 0.7067 0.5000
In 0.5000 0.5000 0.5000
In 0.7067 0.2933 0.5000
O 0.1039 0.8961 0.0000
O 0.8961 0.1039 0.0000

Summary:
**D(E_F)**: 0.766 states/eV/atom

Number 1: ΔE_f (raw) -1.862 eV/atom. Number 2: ΔE_f (raw) -0.938 eV/atom. Number 3: ΔE_f (raw) -1.053 eV/atom.